(1)
Mg7Zr: optimized geometry, PBE-GGA.

The structure in CIF format:
```
data_Mg7Zr
_cell_length_a 4.5226
_cell_length_b 4.5226
_cell_length_c 17.5594
_cell_angle_alpha 90.00
_cell_angle_beta 90.00
_cell_angle_gamma 90.00
_symmetry_space_group_name_H-M 'I 4/m m m'
_symmetry_Int_Tables_number 139
_symmetry_space_group_name_Hall '-I 4 2'
loop_
_atom_site_label
_atom_site_type_symbol
_atom_site_fract_x
_atom_site_fract_y
_atom_site_fract_z
Mg1 Mg 0.0000 0.0000 0.0000
Mg2 Mg 0.0000 0.0000 0.2558
Mg3 Mg 0.0000 0.5000 0.1234
Zr1 Zr 0.0000 0.0000 0.5000
```

Output
- total magnetization (Bohr magnetons per cell) = 0.00

=====

(2)
Mg7Zr: optimized geometry, PBE-GGA.

The structure in CIF format:
```
data_Mg7Zr
_cell_length_a 9.0099
_cell_length_b 9.0099
_cell_length_c 9.0099
_cell_angle_alpha 90.00
_cell_angle_beta 90.00
_cell_angle_gamma 90.00
_symmetry_space_group_name_H-M 'F m -3 m'
_symmetry_Int_Tables_number 225
_symmetry_space_group_name_Hall '-F 4 2 3'
loop_
_atom_site_label
_atom_site_type_symbol
_atom_site_fract_x
_atom_site_fract_y
_atom_site_fract_z
Mg1 Mg 0.0000 0.0000 0.0000
Mg2 Mg 0.0000 0.2500 0.2500
Zr1 Zr 0.0000 0.0000 0.5000
```

Output
- total magnetization (Bohr magnetons per cell) = 5.73

=====

On energetic grounds, (1) is preferred over the next structure by 36 meV/atom.

=====

(1)
MgZr4: optimized geometry, PBE-GGA.

The structure in CIF format:
```
data_MgZr4
_cell_length_a 4.1666
_cell_length_b 4.1666
_cell_length_c 14.2625
_cell_angle_alpha 90.00
_cell_angle_beta 90.00
_cell_angle_gamma 90.00
_symmetry_space_group_name_H-M 'I 4/m m m'
_symmetry_Int_Tables_number 139
_symmetry_space_group_name_Hall '-I 4 2'
loop_
_atom_site_label
_atom_site_type_symbol
_atom_site_fract_x
_atom_site_fract_y
_atom_site_fract_z
Mg1 Mg 0.0000 0.0000 0.0000
Zr1 Zr 0.0000 0.0000 0.4082
Zr2 Zr 0.0000 0.5000 0.2500
```

Output
- total magnetization (Bohr magnetons per cell) = 0.00

=====

(2)
MgZr4: optimized geometry, PBE-GGA.

The structure in CIF format:
```
data_MgZr4
_cell_length_a 5.0740
_cell_length_b 5.0740
_cell_length_c 5.0740
_cell_angle_alpha 90.00
_cell_angle_beta 90.00
_cell_angle_gamma 90.00
_symmetry_space_group_name_H-M 'P m -3 m'
_symmetry_Int_Tables_number 221
_symmetry_space_group_name_Hall '-P 4 2 3'
loop_
_atom_site_label
_atom_site_type_symbol
_atom_site_fract_x
_atom_site_fract_y
_atom_site_fract_z
Mg1 Mg 0.0000 0.0000 0.0000
Zr1 Zr 0.0000 0.0000 0.5000
Zr2 Zr 0.5000 0.5000 0.5000
```

Output
- total magnetization (Bohr magnetons per cell) = 2.54

=====

(3)
MgZr4: optimized geometry, PBE-GGA.

The structure in CIF format:
```
data_MgZr4
_cell_length_a 7.2133
_cell_length_b 7.2133
_cell_length_c 4.3952
_cell_angle_alpha 90.00
_cell_angle_beta 90.00
_cell_angle_gamma 90.00
_symmetry_space_group_name_H-M 'I 4/m'
_symmetry_Int_Tables_number 87
_symmetry_space_group_name_Hall '-I 4'
loop_
_atom_site_label
_atom_site_type_symbol
_atom_site_fract_x
_atom_site_fract_y
_atom_site_fract_z
Mg1 Mg 0.0000 0.0000 0.0000
Zr1 Zr 0.1095 0.6922 0.5000
```

Output
- total magnetization (Bohr magnetons per cell) = 0.00

=====

On energetic grounds, (3) is preferred over the next structure by 430 meV/atom.

=====

(1)
Mg5Zr3: optimized geometry, PBE-GGA.

The structure in CIF format:
```
data_Mg5Zr3
_cell_length_a 8.7299
_cell_length_b 8.7299
_cell_length_c 5.6407
_cell_angle_alpha 90.00
_cell_angle_beta 90.00
_cell_angle_gamma 120.00
_symmetry_space_group_name_H-M 'P 63/m c m'
_symmetry_Int_Tables_number 193
_symmetry_space_group_name_Hall '-P 6c 2'
loop_
_atom_site_label
_atom_site_type_symbol
_atom_site_fract_x
_atom_site_fract_y
_atom_site_fract_z
Mg1 Mg 0.0000 0.2265 0.2500
Mg2 Mg 0.3333 0.6667 0.0000
Zr1 Zr 0.0000 0.4179 0.7500
```

Output
- total magnetization (Bohr magnetons per cell) = 0.00

=====

(2)
Mg5Zr3: optimized geometry, PBE-GGA.

The structure in CIF format:
```
data_Mg5Zr3
_cell_length_a 8.8485
_cell_length_b 9.1383
_cell_length_c 4.4183
_cell_angle_alpha 90.00
_cell_angle_beta 90.00
_cell_angle_gamma 90.00
_symmetry_space_group_name_H-M 'C m m m'
_symmetry_Int_Tables_number 65
_symmetry_space_group_name_Hall '-C 2 2'
loop_
_atom_site_label
_atom_site_type_symbol
_atom_site_fract_x
_atom_site_fract_y
_atom_site_fract_z
Mg1 Mg 0.0000 0.0000 0.0000
Mg2 Mg 0.0000 0.2449 0.5000
Mg3 Mg 0.2500 0.2500 0.0000
Zr1 Zr 0.0000 0.5000 0.0000
Zr2 Zr 0.2334 0.5000 0.5000
```

Output
- total magnetization (Bohr magnetons per cell) = 0.00

=====

(3)
Mg5Zr3: optimized geometry, PBE-GGA.

The structure in CIF format:
```
data_Mg5Zr3
_cell_length_a 5.5218
_cell_length_b 16.1591
_cell_length_c 8.4683
_cell_angle_alpha 90.00
_cell_angle_beta 108.30
_cell_angle_gamma 90.00
_symmetry_space_group_name_H-M 'C 1 2/m 1'
_symmetry_Int_Tables_number 12
_symmetry_space_group_name_Hall '-C 2y'
loop_
_atom_site_label
_atom_site_type_symbol
_atom_site_fract_x
_atom_site_fract_y
_atom_site_fract_z
Mg1 Mg 0.0871 0.1675 0.1883
Mg2 Mg 0.1174 0.4049 0.3416
Mg3 Mg 0.2382 0.5000 0.9760
Zr1 Zr 0.0000 0.2396 0.5000
Zr2 Zr 0.0000 0.3229 0.0000
Zr3 Zr 0.1008 0.0000 0.3538
```

Output
- total magnetization (Bohr magnetons per cell) = 0.00

=====

(4)
Mg5Zr3: optimized geometry, PBE-GGA.

The structure in CIF format:
```
data_Mg5Zr3
_cell_length_a 3.2184
_cell_length_b 3.2184
_cell_length_c 17.6084
_cell_angle_alpha 90.00
_cell_angle_beta 90.00
_cell_angle_gamma 90.00
_symmetry_space_group_name_H-M 'P 4/m m m'
_symmetry_Int_Tables_number 123
_symmetry_space_group_name_Hall '-P 4 2'
loop_
_atom_site_label
_atom_site_type_symbol
_atom_site_fract_x
_atom_site_fract_y
_atom_site_fract_z
Mg1 Mg 0.0000 0.0000 0.0000
Mg2 Mg 0.0000 0.0000 0.2432
Mg3 Mg 0.5000 0.5000 0.1204
Zr1 Zr 0.0000 0.0000 0.5000
Zr2 Zr 0.5000 0.5000 0.3734
```

Output
- total magnetization (Bohr magnetons per cell) = 0.00

=====

On energetic grounds, (4) is preferred over the next structure by 54 meV/atom.

=====

(1)
Mg4Zr3: optimized geometry, PBE-GGA.

The structure in CIF format:
```
data_Mg4Zr3
_cell_length_a 3.1542
_cell_length_b 3.1542
_cell_length_c 31.8261
_cell_angle_alpha 90.00
_cell_angle_beta 90.00
_cell_angle_gamma 90.00
_symmetry_space_group_name_H-M 'I 4/m m m'
_symmetry_Int_Tables_number 139
_symmetry_space_group_name_Hall '-I 4 2'
loop_
_atom_site_label
_atom_site_type_symbol
_atom_site_fract_x
_atom_site_fract_y
_atom_site_fract_z
Mg1 Mg 0.0000 0.0000 0.0698
Mg2 Mg 0.0000 0.0000 0.3598
Zr1 Zr 0.0000 0.0000 0.2146
Zr2 Zr 0.0000 0.0000 0.5000
```

Output
- total magnetization (Bohr magnetons per cell) = 0.00

=====

(2)
Mg4Zr3: optimized geometry, PBE-GGA.

The structure in CIF format:
```
data_Mg4Zr3
_cell_length_a 5.7304
_cell_length_b 5.7304
_cell_length_c 5.8479
_cell_angle_alpha 90.00
_cell_angle_beta 90.00
_cell_angle_gamma 120.00
_symmetry_space_group_name_H-M 'P 6/m m m'
_symmetry_Int_Tables_number 191
_symmetry_space_group_name_Hall '-P 6 2'
loop_
_atom_site_label
_atom_site_type_symbol
_atom_site_fract_x
_atom_site_fract_y
_atom_site_fract_z
Mg1 Mg 0.0000 0.0000 0.2484
Mg2 Mg 0.3333 0.6667 0.5000
Zr1 Zr 0.0000 0.5000 0.0000
```

Output
- total magnetization (Bohr magnetons per cell) = 0.00

=====

On energetic grounds, (1) is preferred over the next structure by 143 meV/atom.

=====

(1)
MnMo5: optimized geometry, PBE-GGA.

The structure in CIF format:
```
data_MnMo5
_cell_length_a 4.6203
_cell_length_b 2.5831
_cell_length_c 15.6897
_cell_angle_alpha 90.00
_cell_angle_beta 90.00
_cell_angle_gamma 90.00
_symmetry_space_group_name_H-M 'A m m 2'
_symmetry_Int_Tables_number 38
_symmetry_space_group_name_Hall 'A 2 -2'
loop_
_atom_site_label
_atom_site_type_symbol
_atom_site_fract_x
_atom_site_fract_y
_atom_site_fract_z
Mn1 Mn 0.0000 0.0000 0.0000
Mo1 Mo 0.0000 0.0000 0.3401
Mo2 Mo 0.0000 0.0000 0.6664
Mo3 Mo 0.5000 0.0000 0.0970
Mo4 Mo 0.5000 0.0000 0.4361
Mo5 Mo 0.5000 0.0000 0.7657
```

Output
- total magnetization (Bohr magnetons per cell) = 5.27

=====

(2)
MnMo5: optimized geometry, PBE-GGA.

The structure in CIF format:
```
data_MnMo5
_cell_length_a 7.3471
_cell_length_b 7.3471
_cell_length_c 7.3471
_cell_angle_alpha 90.00
_cell_angle_beta 90.00
_cell_angle_gamma 90.00
_symmetry_space_group_name_H-M 'F -4 3 m'
_symmetry_Int_Tables_number 216
_symmetry_space_group_name_Hall 'F -4 2 3'
loop_
_atom_site_label
_atom_site_type_symbol
_atom_site_fract_x
_atom_site_fract_y
_atom_site_fract_z
Mn1 Mn 0.0000 0.0000 0.0000
Mo1 Mo 0.1253 0.1253 0.3747
Mo2 Mo 0.2500 0.2500 0.7500
```

Output
- total magnetization (Bohr magnetons per cell) = 17.69

=====

(3)
MnMo5: optimized geometry, PBE-GGA.

The structure in CIF format:
```
data_MnMo5
_cell_length_a 9.8379
_cell_length_b 3.1494
_cell_length_c 6.2346
_cell_angle_alpha 90.00
_cell_angle_beta 108.11
_cell_angle_gamma 90.00
_symmetry_space_group_name_H-M 'C 1 2/m 1'
_symmetry_Int_Tables_number 12
_symmetry_space_group_name_Hall '-C 2y'
loop_
_atom_site_label
_atom_site_type_symbol
_atom_site_fract_x
_atom_site_fract_y
_atom_site_fract_z
Mn1 Mn 0.0000 0.0000 0.0000
Mo1 Mo 0.0000 0.0000 0.5000
Mo2 Mo 0.1648 0.5000 0.3289
Mo3 Mo 0.1679 0.5000 0.8346
```

Output
- total magnetization (Bohr magnetons per cell) = 3.63

=====

On energetic grounds, (3) is preferred over the next structure by 258 meV/atom.

=====

(1)
Mn4Mo3: optimized geometry, PBE-GGA.

The structure in CIF format:
```
data_Mn4Mo3
_cell_length_a 5.0318
_cell_length_b 5.0318
_cell_length_c 4.7337
_cell_angle_alpha 90.00
_cell_angle_beta 90.00
_cell_angle_gamma 120.00
_symmetry_space_group_name_H-M 'P 6/m m m'
_symmetry_Int_Tables_number 191
_symmetry_space_group_name_Hall '-P 6 2'
loop_
_atom_site_label
_atom_site_type_symbol
_atom_site_fract_x
_atom_site_fract_y
_atom_site_fract_z
Mn1 Mn 0.0000 0.0000 0.2256
Mn2 Mn 0.3333 0.6667 0.0000
Mo1 Mo 0.0000 0.5000 0.5000
```

Output
- total magnetization (Bohr magnetons per cell) = 9.29

=====

(2)
Mn4Mo3: optimized geometry, PBE-GGA.

The structure in CIF format:
```
data_Mn4Mo3
_cell_length_a 3.0454
_cell_length_b 3.0454
_cell_length_c 20.4047
_cell_angle_alpha 90.00
_cell_angle_beta 90.00
_cell_angle_gamma 90.00
_symmetry_space_group_name_H-M 'I 4/m m m'
_symmetry_Int_Tables_number 139
_symmetry_space_group_name_Hall '-I 4 2'
loop_
_atom_site_label
_atom_site_type_symbol
_atom_site_fract_x
_atom_site_fract_y
_atom_site_fract_z
Mn1 Mn 0.0000 0.0000 0.0699
Mn2 Mn 0.0000 0.0000 0.3576
Mo1 Mo 0.0000 0.0000 0.2079
Mo2 Mo 0.0000 0.0000 0.5000
```

Output
- total magnetization (Bohr magnetons per cell) = 10.92

=====

On energetic grounds, (2) is preferred over the next structure by 244 meV/atom.

=====

(1)
MnMo4: optimized geometry, PBE-GGA.

The structure in CIF format:
```
data_MnMo4
_cell_length_a 4.4192
_cell_length_b 4.4192
_cell_length_c 4.4192
_cell_angle_alpha 90.00
_cell_angle_beta 90.00
_cell_angle_gamma 90.00
_symmetry_space_group_name_H-M 'P m -3 m'
_symmetry_Int_Tables_number 221
_symmetry_space_group_name_Hall '-P 4 2 3'
loop_
_atom_site_label
_atom_site_type_symbol
_atom_site_fract_x
_atom_site_fract_y
_atom_site_fract_z
Mn1 Mn 0.0000 0.0000 0.0000
Mo1 Mo 0.0000 0.0000 0.5000
Mo2 Mo 0.5000 0.5000 0.5000
```

Output
- total magnetization (Bohr magnetons per cell) = 0.00

=====

(2)
MnMo4: optimized geometry, PBE-GGA.

The structure in CIF format:
```
data_MnMo4
_cell_length_a 5.5809
_cell_length_b 5.5809
_cell_length_c 5.5809
_cell_angle_alpha 90.00
_cell_angle_beta 90.00
_cell_angle_gamma 90.00
_symmetry_space_group_name_H-M 'I m -3 m'
_symmetry_Int_Tables_number 229
_symmetry_space_group_name_Hall '-I 4 2 3'
loop_
_atom_site_label
_atom_site_type_symbol
_atom_site_fract_x
_atom_site_fract_y
_atom_site_fract_z
Mn1 Mn 0.0000 0.0000 0.0000
Mo1 Mo 0.2500 0.2500 0.2500
```

Output
- total magnetization (Bohr magnetons per cell) = 0.00

=====

On energetic grounds, (2) is preferred over the next structure by 130 meV/atom.

=====

(1)
MnMo7: optimized geometry, PBE-GGA.

The structure in CIF format:
```
data_MnMo7
_cell_length_a 7.9479
_cell_length_b 7.9479
_cell_length_c 7.9479
_cell_angle_alpha 90.00
_cell_angle_beta 90.00
_cell_angle_gamma 90.00
_symmetry_space_group_name_H-M 'F m -3 m'
_symmetry_Int_Tables_number 225
_symmetry_space_group_name_Hall '-F 4 2 3'
loop_
_atom_site_label
_atom_site_type_symbol
_atom_site_fract_x
_atom_site_fract_y
_atom_site_fract_z
Mn1 Mn 0.0000 0.0000 0.0000
Mo1 Mo 0.0000 0.0000 0.5000
Mo2 Mo 0.0000 0.2500 0.2500
```

Output
- total magnetization (Bohr magnetons per cell) = 11.04

=====

(2)
MnMo7: optimized geometry, PBE-GGA.

The structure in CIF format:
```
data_MnMo7
_cell_length_a 8.8676
_cell_length_b 8.8676
_cell_length_c 10.8976
_cell_angle_alpha 90.00
_cell_angle_beta 90.00
_cell_angle_gamma 120.00
_symmetry_space_group_name_H-M 'R -3 m'
_symmetry_Int_Tables_number 166
_symmetry_space_group_name_Hall '-R 3 2"'
loop_
_atom_site_label
_atom_site_type_symbol
_atom_site_fract_x
_atom_site_fract_y
_atom_site_fract_z
Mn1 Mn 0.0000 0.0000 0.1254
Mo1 Mo 0.0000 0.0000 0.3726
Mo2 Mo 0.9995 0.4998 0.1252
Mo3 Mo 0.0019 0.5009 0.6255
```

Output
- total magnetization (Bohr magnetons per cell) = 11.54

=====

On energetic grounds, (2) is preferred over the next structure by 319 meV/atom.

=====

(1)
Mn5Mo4: optimized geometry, PBE-GGA.

The structure in CIF format:
```
data_Mn5Mo4
_cell_length_a 7.3986
_cell_length_b 7.3986
_cell_length_c 5.0504
_cell_angle_alpha 90.00
_cell_angle_beta 90.00
_cell_angle_gamma 120.00
_symmetry_space_group_name_H-M 'P 63/m c m'
_symmetry_Int_Tables_number 193
_symmetry_space_group_name_Hall '-P 6c 2'
loop_
_atom_site_label
_atom_site_type_symbol
_atom_site_fract_x
_atom_site_fract_y
_atom_site_fract_z
Mn1 Mn 0.0000 0.3184 0.2500
Mn2 Mn 0.3333 0.6667 0.0000
Mo1 Mo 0.0000 0.0000 0.0000
Mo2 Mo 0.0000 0.3627 0.7500
```

Output
- total magnetization (Bohr magnetons per cell) = 1.89

=====

(2)
Mn5Mo4: optimized geometry, PBE-GGA.

The structure in CIF format:
```
data_Mn5Mo4
_cell_length_a 7.9671
_cell_length_b 7.9671
_cell_length_c 3.7380
_cell_angle_alpha 90.00
_cell_angle_beta 90.00
_cell_angle_gamma 90.00
_symmetry_space_group_name_H-M 'I 4/m m m'
_symmetry_Int_Tables_number 139
_symmetry_space_group_name_Hall '-I 4 2'
loop_
_atom_site_label
_atom_site_type_symbol
_atom_site_fract_x
_atom_site_fract_y
_atom_site_fract_z
Mn1 Mn 0.0000 0.0000 0.0000
Mn2 Mn 0.1601 0.1601 0.5000
Mo1 Mo 0.0000 0.3090 0.0000
```

Output
- total magnetization (Bohr magnetons per cell) = 0.07

=====

On energetic grounds, (2) is preferred over the next structure by 97 meV/atom.